DFT (GGA-PBE) results for crystalline NdYCu2Si2 at its relaxed geometry.

Results
Total magnetic moment (μB per formula unit): 0.00
Formation energy from raw total energies (eV per atom): -0.65
Space group: P-3m1, No. 164
Energy (eV/atom): -5.70

Cell: 4.185 4.185 7.706 Å, 90.00 90.00 120.00°
Atoms (fractional coordinates):
Nd 0.000 0.000 0.000
Y 0.000 0.000 0.500
Cu 0.667 0.333 0.263
Cu 0.333 0.667 0.737
Si 0.667 0.333 0.741
Si 0.333 0.667 0.259